The following is a PBE calculation of crystalline ErICl2 at its relaxed geometry, from the Alexandria database.

The structure in CIF format:
```
data_ErICl2
_chemical_formula_sum 'Er4 I4 Cl8'
_symmetry_space_group_name_H-M 'C 1 c 1'
_symmetry_Int_Tables_number 9
_symmetry_space_group_name_Hall 'C -2yc'
_cell_length_a 8.236
_cell_length_b 11.566
_cell_length_c 7.301
_cell_angle_alpha 90.00
_cell_angle_beta 121.96
_cell_angle_gamma 90.00
loop_
_atom_site_label
_atom_site_type_symbol
_atom_site_fract_x
_atom_site_fract_y
_atom_site_fract_z
Er1 Er 0.000 0.092 0.000
I1 I 0.240 0.101 0.799
Cl1 Cl 0.237 0.250 0.271
Cl2 Cl 0.305 0.442 0.689
```

Volume   590 Å³ per cell
ΔE_f (raw)   -1953 meV per atom
Total DFT energy (no corrections)   -4.41 eV per atom
Total magnetic moment   0.00 μB per formula unit